This record from Alexandria via LeMat-Bulk describes an optimized crystal structure of LaIn2P. The functional is GGA-PBE.

Lattice parameters (Å, degrees): 5.2179 5.2179 5.2179 60.00 60.00 60.00
Sites, in units of the cell vectors:
In 0.0000 0.0000 0.0000
In 0.7500 0.7500 0.7500
P 0.2500 0.2500 0.2500
La 0.5000 0.5000 0.5000

Computed properties:
* E_tot: -0.313 Ry/atom
* Fermi-level density of states: 1.90 states/eV per cell
* total magnetization: 0.00 μB per formula unit
* space group: F-43m (216)
* DFT formation energy: -0.3110 eV per atom

---

This record from Alexandria via LeMat-Bulk describes an optimized crystal structure of Gd. The functional is GGA-PBE.

Lattice parameters (Å, degrees): 3.4802 3.4802 3.4802 109.47 109.47 109.47
Sites, in units of the cell vectors:
Gd 0.0000 0.0000 0.0000

Computed properties:
* E_tot: -1.028 Ry/atom
* Fermi-level density of states: 1.81 states/eV per cell
* total magnetization: 7.66 μB per formula unit
* offset from the most stable computed form: 0.09 eV/f.u.
* space group: Im-3m (229)
* DFT formation energy: 0.0887 eV per atom

---

This record from Alexandria via LeMat-Bulk describes an optimized crystal structure of Na2CaAsW. The functional is GGA-PBE.

Lattice parameters (Å, degrees): 5.4332 5.6460 5.4332 90.00 90.00 90.00
Sites, in units of the cell vectors:
Na 0.0000 0.0000 0.5000
Na 0.5000 0.0000 0.0000
W 0.5000 0.5000 0.5000
Ca 0.0000 0.5000 0.0000
As 0.0000 0.0000 0.0000

Computed properties:
* E_tot: -0.261 Ry/atom
* Fermi-level density of states: 0.07 states/eV per cell
* total magnetization: 5.00 μB per formula unit
* space group: P4/mmm (123)
* DFT formation energy: 0.8990 eV per atom

---

This record from Alexandria via LeMat-Bulk describes an optimized crystal structure of CdRe2As. The functional is GGA-PBE.

Lattice parameters (Å, degrees): 9.0592 9.0592 9.0592 18.47 18.47 18.47
Sites, in units of the cell vectors:
As 0.2500 0.2500 0.2500
Cd 0.7500 0.7500 0.7500
Re 0.5102 0.5102 0.5102
Re 0.9898 0.9898 0.9898

Computed properties:
* E_tot: -0.522 Ry/atom
* Fermi-level density of states: 4.63 states/eV per cell
* total magnetization: 0.00 μB per formula unit
* offset from the most stable computed form: 1.26 eV/f.u.
* space group: R-3m (166)
* DFT formation energy: 0.5115 eV per atom

---

This record from Alexandria via LeMat-Bulk describes an optimized crystal structure of TlIr. The functional is GGA-PBE.

Lattice parameters (Å, degrees): 8.2532 8.2532 8.2532 90.00 90.00 90.00
Sites, in units of the cell vectors:
Ir 0.8887 0.8887 0.1113
Ir 0.1113 0.8887 0.8887
Ir 0.6113 0.6113 0.6113
Ir 0.8887 0.1113 0.8887
Ir 0.6113 0.3887 0.3887
Ir 0.3887 0.3887 0.6113
Ir 0.1113 0.1113 0.1113
Ir 0.3887 0.6113 0.3887
Tl 0.2054 0.7946 0.2054
Tl 0.2946 0.7054 0.7054
Tl 0.7946 0.2054 0.2054
Tl 0.2054 0.2054 0.7946
Tl 0.7054 0.7054 0.2946
Tl 0.7946 0.7946 0.7946
Tl 0.7054 0.2946 0.7054
Tl 0.2946 0.2946 0.2946

Computed properties:
* E_tot: -0.357 Ry/atom
* Fermi-level density of states: 23.00 states/eV per cell
* total magnetization: 0.00 μB per formula unit
* space group: I-43m (217)
* DFT formation energy: 0.7628 eV per atom

---

This record from Alexandria via LeMat-Bulk describes an optimized crystal structure of GaFe3Pb. The functional is GGA-PBE.

Lattice parameters (Å, degrees): 4.9422 4.9422 4.9422 90.00 90.00 90.00
Sites, in units of the cell vectors:
Fe 0.0000 0.5000 0.0000
Fe 0.5000 0.0000 0.0000
Fe 0.0000 0.0000 0.5000
Ga 0.5000 0.5000 0.5000
Pb 0.0000 0.0000 0.0000

Computed properties:
* E_tot: -0.359 Ry/atom
* Fermi-level density of states: 7.68 states/eV per cell
* total magnetization: 8.93 μB per formula unit
* offset from the most stable computed form: 3.58 eV/f.u.
* space group: Pm-3m (221)
* DFT formation energy: 1.5437 eV per atom

---

This record from Alexandria via LeMat-Bulk describes an optimized crystal structure of TiP3N. The functional is GGA-PBE.

Lattice parameters (Å, degrees): 4.0210 4.0210 4.0210 90.00 90.00 90.00
Sites, in units of the cell vectors:
P 0.0000 0.5000 0.0000
P 0.0000 0.0000 0.5000
P 0.5000 0.0000 0.0000
Ti 0.5000 0.5000 0.5000
N 0.0000 0.0000 0.0000

Computed properties:
* E_tot: -0.447 Ry/atom
* Fermi-level density of states: 2.19 states/eV per cell
* total magnetization: 0.00 μB per formula unit
* offset from the most stable computed form: 0.00 eV/f.u.
* space group: Pm-3m (221)
* raw formation energy: 0.41 eV per atom

---

This record from Alexandria via LeMat-Bulk describes an optimized crystal structure of Tm5Sn3. The functional is GGA-PBE.

Lattice parameters (Å, degrees): 6.4431 8.8366 8.8366 120.00 90.00 90.00
Sites, in units of the cell vectors:
Tm 0.0000 0.3333 0.6667
Tm 0.7500 0.7628 0.7628
Tm 0.7500 0.0000 0.2372
Tm 0.5000 0.3333 0.6667
Tm 0.5000 0.6667 0.3333
Tm 0.2500 0.7628 0.0000
Tm 0.2500 0.2372 0.2372
Tm 0.2500 0.0000 0.7628
Tm 0.0000 0.6667 0.3333
Tm 0.7500 0.2372 0.0000
Sn 0.2500 0.0000 0.3951
Sn 0.7500 0.3951 0.3951
Sn 0.7500 0.6049 0.0000
Sn 0.7500 0.0000 0.6049
Sn 0.2500 0.3951 0.0000
Sn 0.2500 0.6049 0.6049

Computed properties:
* E_tot: -0.367 Ry/atom
* Fermi-level density of states: 8.53 states/eV per cell
* total magnetization: 0.00 μB per formula unit
* offset from the most stable computed form: 0.00 eV/f.u.
* space group: P6_3/mcm (193)
* DFT formation energy: -0.7002 eV per atom

---

Among the records above, which one has the highest Fermi-level density of states?
TlIr

---

The highest Fermi-level density of states belongs to which entry?
TlIr